{"formula": "Fe2ReIr", "functional": "SCAN", "state": "single point on PBEsol structure", "lattice": [[-0.283, -1.207, 2.333], [3.201, -2.172, -2.230], [2.531, 3.271, 1.999]], "species": ["Fe", "Ir", "Fe", "Re"], "fractional_positions": [[0.248, 0.496, 0.254], [0.500, 0.000, 0.000], [0.752, 0.504, 0.746], [0.000, 0.000, 0.500]], "total_energy_ev_per_atom": -44.648, "formation_enthalpy_0k_ev_per_fu": -0.137}

=====

{"formula": "SiTeAu2", "functional": "SCAN", "state": "single point on PBEsol structure", "lattice": [[3.002, 0.000, 0.038], [0.000, 3.730, 0.000], [-0.095, 0.000, 7.172]], "species": ["Te", "Au", "Au", "Si"], "fractional_positions": [[0.249, 0.500, 0.761], [0.250, 0.000, 0.045], [0.750, 0.500, 0.273], [0.251, 0.000, 0.422]], "total_energy_ev_per_atom": -46.290, "raw_formation_energy_ev_per_atom": 0.1048, "de_polymorph_kj_per_mol_fu": 54}

=====

{"formula": "Ca2RhSe", "functional": "SCAN", "state": "single point on PBEsol structure", "lattice": [[-1.891, 2.509, 2.124], [-0.815, -0.807, 3.615], [5.578, 3.634, 4.058]], "species": ["Se", "Rh", "Ca", "Ca"], "fractional_positions": [[0.000, 0.000, 0.000], [0.500, 0.500, 0.500], [0.747, 0.747, 0.758], [0.253, 0.253, 0.242]], "total_energy_ev_per_atom": -19.233, "raw_formation_energy_ev_per_atom": -0.9393}